Record 1
DFT (GGA-PBE) results for a relaxed structure of Ba2Zn4SnHg3.

Unit cell a=4.839 b=4.839 c=11.109 alpha=90.00 beta=90.00 gamma=90.00
Positions (direct):
1 Ba 0.500 0.000 0.244
2 Ba 0.000 0.500 0.756
3 Zn 0.500 0.500 0.000
4 Zn 0.000 0.000 0.000
5 Zn 0.500 0.000 0.634
6 Zn 0.000 0.500 0.366
7 Sn 0.500 0.500 0.500
8 Hg 0.000 0.000 0.500
9 Hg 0.500 0.000 0.878
10 Hg 0.000 0.500 0.122

Output
Space-group type ... P-4m2 (115)
Calculated total energy ... -1.682 eV per atom

***

Record 2
DFT (GGA-PBE) results for a relaxed structure of Ba2Zn4Sn3Hg.

Unit cell a=4.758 b=4.758 c=11.476 alpha=90.00 beta=90.00 gamma=90.00
Positions (direct):
1 Ba 0.500 0.000 0.243
2 Ba 0.000 0.500 0.757
3 Zn 0.500 0.500 0.000
4 Zn 0.000 0.000 0.000
5 Zn 0.500 0.000 0.634
6 Zn 0.000 0.500 0.366
7 Sn 0.000 0.000 0.500
8 Sn 0.500 0.000 0.872
9 Sn 0.000 0.500 0.128
10 Hg 0.500 0.500 0.500

Output
Space-group type ... P-4m2 (115)
Calculated total energy ... -2.509 eV per atom

***

no.,ΔE_f (meV/atom)
1,-298
2,-383